A.
This record from the Alexandria database describes crystalline Ti3InH3 at its relaxed geometry. The functional is PBE.

Values from the calculation:
total magnetic moment = 0.69 μB per formula unit

a = 5.3883 Å, b = 5.3883 Å, c = 5.3883 Å
α = 90.00°, β = 90.00°, γ = 90.00°
Closest atoms and distances in Å follow each position.
Sites, in units of the cell vectors:
H (0.2500, 0.0000, 0.5000)  4 Ti 1.91
H (0.0000, 0.5000, 0.2500)  4 Ti 1.91
H (0.5000, 0.7500, 0.0000)  4 Ti 1.91
H (0.7500, 0.0000, 0.5000)  4 Ti 1.91
H (0.0000, 0.5000, 0.7500)  4 Ti 1.91
H (0.5000, 0.2500, 0.0000)  4 Ti 1.91
Ti (0.0000, 0.2500, 0.5000)  4 H 1.91
Ti (0.0000, 0.7500, 0.5000)  4 H 1.91
Ti (0.5000, 0.0000, 0.7500)  4 H 1.91
Ti (0.7500, 0.5000, 0.0000)  4 H 1.91
Ti (0.5000, 0.0000, 0.2500)  4 H 1.91
Ti (0.2500, 0.5000, 0.0000)  4 H 1.91
In (0.5000, 0.5000, 0.5000)  12 H 3.01, 12 Ti 3.01
In (0.0000, 0.0000, 0.0000)  12 H 3.01, 12 Ti 3.01

=====

B.
This record from the Alexandria database describes crystalline Ti3InH3 at its relaxed geometry. The functional is PBE.

Values from the calculation:
total magnetic moment = 0.00 μB per formula unit

a = 5.2011 Å, b = 5.2011 Å, c = 7.9965 Å
α = 71.02°, β = 71.02°, γ = 60.00°
Closest atoms and distances in Å follow each position.
Sites, in units of the cell vectors:
Ti (0.4394, 0.7778, 0.6814)  4 H 1.89-1.93
Ti (0.7778, 0.1014, 0.6814)  4 H 1.89-1.93
Ti (0.1014, 0.4394, 0.6814)  4 H 1.89-1.93
Ti (0.8986, 0.5606, 0.3186)  4 H 1.89-1.93
Ti (0.2222, 0.8986, 0.3186)  4 H 1.89-1.93
Ti (0.5606, 0.2222, 0.3186)  4 H 1.89-1.93
In (0.3342, 0.3342, 0.9974)  6 Ti 2.93-2.94, 3 In 3.00
In (0.6658, 0.6658, 0.0026)  6 Ti 2.93-2.94, 3 In 3.00
H (0.1967, 0.5270, 0.4205)  4 Ti 1.89-1.93, 2 H 2.08
H (0.8559, 0.1967, 0.4205)  4 Ti 1.89-1.93, 2 H 2.08
H (0.5270, 0.8559, 0.4205)  4 Ti 1.89-1.93, 2 H 2.08
H (0.4730, 0.1441, 0.5795)  4 Ti 1.89-1.93, 2 H 2.08
H (0.1441, 0.8033, 0.5795)  4 Ti 1.89-1.93, 2 H 2.08
H (0.8033, 0.4730, 0.5795)  4 Ti 1.89-1.93, 2 H 2.08

=====

A ends up most stable, edging out the next structure by 18.6 kJ/mol of atoms.

=====

A.
This record from the Alexandria database describes crystalline TiIn2H at its relaxed geometry. The functional is PBE.

Values from the calculation:
total magnetic moment = 0.97 μB per formula unit

a = 4.7361 Å, b = 4.7361 Å, c = 4.7361 Å
α = 60.00°, β = 60.00°, γ = 60.00°
Closest atoms and distances in Å follow each position.
Sites, in units of the cell vectors:
H (0.0000, 0.0000, 0.0000)  8 In 2.90
Ti (0.5000, 0.5000, 0.5000)  8 In 2.90
In (0.2500, 0.2500, 0.2500)  4 Ti 2.90, 4 H 2.90
In (0.7500, 0.7500, 0.7500)  4 Ti 2.90, 4 H 2.90

=====

B.
This record from the Alexandria database describes crystalline TiIn2H at its relaxed geometry. The functional is PBE.

Values from the calculation:
total magnetic moment = 0.56 μB per formula unit

a = 6.9158 Å, b = 6.9158 Å, c = 5.6856 Å
α = 52.54°, β = 52.54°, γ = 90.00°
Closest atoms and distances in Å follow each position.
Sites, in units of the cell vectors:
H (0.5000, 0.5000, 0.0000)  4 In 2.23
H (0.2500, 0.7500, 0.5000)  4 In 2.23
Ti (0.0000, 0.0000, 0.0000)  2 H 2.90, 8 In 2.93-3.03
Ti (0.7500, 0.2500, 0.5000)  2 H 2.90, 8 In 2.93-3.03
In (0.5497, 0.1250, 0.2500)  2 H 2.23
In (0.2003, 0.6250, 0.2500)  2 H 2.23
In (0.3750, 0.4503, 0.7500)  2 H 2.23
In (0.8750, 0.7997, 0.7500)  2 H 2.23

=====

B ends up most stable, edging out the next structure by 30.5 kJ/mol of atoms.

=====

A.
This record from the Alexandria database describes crystalline TiInH3 at its relaxed geometry. The functional is PBE.

Values from the calculation:
total magnetic moment = 0.00 μB per formula unit

a = 3.6823 Å, b = 3.6823 Å, c = 3.6823 Å
α = 90.00°, β = 90.00°, γ = 90.00°
Closest atoms and distances in Å follow each position.
Sites, in units of the cell vectors:
H (0.0000, 0.5000, 0.0000)  2 Ti 1.84
H (0.0000, 0.0000, 0.5000)  2 Ti 1.84
H (0.5000, 0.0000, 0.0000)  2 Ti 1.84
Ti (0.0000, 0.0000, 0.0000)  6 H 1.84
In (0.5000, 0.5000, 0.5000)  12 H 2.60

=====

B.
This record from the Alexandria database describes crystalline TiInH3 at its relaxed geometry. The functional is PBE.

Values from the calculation:
total magnetic moment = 0.00 μB per formula unit

a = 3.8060 Å, b = 3.8060 Å, c = 3.8060 Å
α = 90.00°, β = 90.00°, γ = 90.00°
Closest atoms and distances in Å follow each position.
Sites, in units of the cell vectors:
H (0.0000, 0.5000, 0.0000)  2 In 1.90
H (0.0000, 0.0000, 0.5000)  2 In 1.90
H (0.5000, 0.0000, 0.0000)  2 In 1.90
Ti (0.5000, 0.5000, 0.5000)  12 H 2.69
In (0.0000, 0.0000, 0.0000)  6 H 1.90

=====

A ends up most stable, edging out the next structure by 74.3 kJ/mol of atoms.